1.
DFT (PBE) results for a relaxed Ca3P2Rh crystal.

extended XYZ file:
```
24
Lattice="-2.628 -2.914 1.164 8.901 -6.358 4.180 -1.128 5.037 10.063" Properties=species:S:1:pos:R:3 pbc="T T T"
Ca 2.664 -2.843 2.497
Ca 2.480 -1.391 12.911
Ca 5.374 -5.574 8.973
Ca -0.230 1.340 6.434
Ca 5.308 -4.132 5.238
Ca -0.163 -0.103 10.169
Ca -0.564 -1.932 4.684
Ca 5.708 -2.302 10.723
Ca 2.911 -1.671 5.987
Ca 2.234 -2.563 9.421
Ca 6.340 -7.611 6.052
Ca -1.195 3.377 9.355
P 4.956 -2.731 7.952
P 0.189 -1.504 7.456
P -0.302 -3.269 1.928
P 5.447 -0.966 13.479
P -0.847 0.695 3.427
P 5.992 -4.930 11.980
P 2.413 -4.489 5.003
P 2.732 0.255 10.404
Rh 0.451 -0.983 2.154
Rh 4.694 -3.251 13.253
Rh 3.309 -4.377 7.306
Rh 1.836 0.143 8.102
```

Values from the calculation:
space-group type: Pnma (62)

=====

2.
DFT (PBE) results for a relaxed ScCdSn crystal.

extended XYZ file:
```
12
Lattice="-6.144 1.144 -0.058 -0.582 -2.961 3.247 4.971 6.448 6.771" Properties=species:S:1:pos:R:3 pbc="T T T"
Sc 1.782 6.998 6.701
Sc -0.994 2.293 4.939
Sc -2.117 5.485 4.623
Sc -4.893 0.780 2.861
Cd -2.715 2.945 2.199
Cd -0.521 4.689 7.208
Cd 0.884 4.759 4.499
Cd -1.892 0.054 2.737
Sn 0.305 2.416 2.257
Sn 2.499 4.159 7.266
Sn -0.009 0.081 0.072
Sn 2.185 1.824 5.081
```

Values from the calculation:
space-group type: Cm (8)

=====

Going through the records in order, we get formation energy values of -0.9896, -0.3446 eV per atom.
Going through the records in order, we get total energy values of -5.019, -4.094 eV per atom.